No. 1
Material: CdRe2Ni
Method: DFT, PBE
State: optimized geometry

POSCAR file:
```
CdRe2Ni
1.0
-3.449 3.282 -1.803
-1.610 -4.303 2.195
-0.065 1.238 2.380
Cd Ni Re
1 1 2
Direct
0.500 0.000 0.500
0.000 0.500 0.500
0.000 0.000 0.000
0.500 0.500 0.000
```

Computed properties:
The crystal system is orthorhombic. The calculation puts the size of the total moment at 0.00 μB/cell. As for the energy of formation: 594 meV per atom. The value obtained for the density of states at the Fermi level is 4.0 states/eV/f.u.

No. 2
Material: CdReNi4
Method: DFT, PBE
State: optimized geometry

POSCAR file:
```
CdReNi4
1.0
0.000 3.377 3.377
3.377 0.000 3.377
3.377 3.377 0.000
Cd Re Ni
1 1 4
Direct
0.000 0.000 0.000
0.750 0.750 0.750
0.376 0.873 0.376
0.873 0.376 0.376
0.376 0.376 0.873
0.376 0.376 0.376
```

Computed properties:
The crystal system is cubic. The calculation puts the size of the total moment at 2.77 μB/cell. As for the energy of formation: 243 meV per atom. The value obtained for the density of states at the Fermi level is 10.2 states/eV/f.u.

No. 3
Material: Cd2ReNi
Method: DFT, PBE
State: optimized geometry

POSCAR file:
```
Cd2ReNi
1.0
-2.461 4.833 -1.236
-2.752 2.821 3.925
4.716 -2.156 -2.013
Cd Ni Re
2 1 1
Direct
0.021 0.021 0.000
0.479 0.479 0.000
0.250 0.750 0.500
0.750 0.250 0.500
```

Computed properties:
The crystal system is orthorhombic. The calculation puts the size of the total moment at 0.42 μB/cell. As for the energy of formation: 539 meV per atom. The value obtained for the density of states at the Fermi level is 3.9 states/eV/f.u. As for the energy relative to the lowest polymorph listed for this composition: 304 meV/atom.

No. 4
Material: Cd2ReNi
Method: DFT, PBE
State: optimized geometry

POSCAR file:
```
Cd2ReNi
1.0
5.111 -0.020 0.000
2.104 4.658 0.000
-3.608 -2.319 2.780
Cd Ni Re
2 1 1
Direct
0.000 0.000 0.000
0.500 0.500 0.000
0.250 0.750 0.500
0.750 0.250 0.500
```

Computed properties:
The crystal system is tetragonal. The calculation puts the size of the total moment at 1.13 μB/cell. As for the energy of formation: 703 meV per atom. The value obtained for the density of states at the Fermi level is 4.9 states/eV/f.u. As for the energy relative to the lowest polymorph listed for this composition: 469 meV/atom.

No. 5
Material: Cd2ReNi
Method: DFT, PBE
State: optimized geometry

POSCAR file:
```
Cd2ReNi
1.0
5.120 0.004 0.000
-1.983 4.720 0.000
0.000 0.000 2.728
Cd Ni Re
2 1 1
Direct
0.000 0.000 0.000
0.500 0.500 0.000
0.500 0.000 0.500
0.000 0.500 0.500
```

Computed properties:
The crystal system is orthorhombic. The calculation puts the size of the total moment at 0.00 μB/cell. As for the energy of formation: 523 meV per atom. The value obtained for the density of states at the Fermi level is 4.0 states/eV/f.u. As for the energy relative to the lowest polymorph listed for this composition: 289 meV/atom.

No. 6
Material: Cd2ReNi
Method: DFT, PBE
State: optimized geometry

POSCAR file:
```
Cd2ReNi
1.0
1.188 -4.355 -0.613
-2.882 -3.332 1.160
-2.033 -2.482 -3.234
Cd Re Ni
2 1 1
Direct
0.000 0.000 0.000
0.750 0.750 0.750
0.250 0.250 0.250
0.500 0.500 0.500
```

Computed properties:
The crystal system is cubic. The calculation puts the size of the total moment at 2.42 μB/cell. As for the energy of formation: 676 meV per atom. The value obtained for the density of states at the Fermi level is 1.8 states/eV/f.u. As for the energy relative to the lowest polymorph listed for this composition: 442 meV/atom.

No. 7
Material: Cd2ReNi
Method: DFT, PBE
State: optimized geometry

POSCAR file:
```
Cd2ReNi
1.0
-6.578 5.731 3.560
-7.388 3.304 4.824
-5.348 4.914 6.002
Cd Ni Re
2 1 1
Direct
0.995 0.995 0.995
0.505 0.505 0.505
0.250 0.250 0.250
0.750 0.750 0.750
```

Computed properties:
The crystal system is trigonal. The calculation puts the size of the total moment at 0.00 μB/cell. As for the energy of formation: 444 meV per atom. The value obtained for the density of states at the Fermi level is 2.8 states/eV/f.u. As for the energy relative to the lowest polymorph listed for this composition: 209 meV/atom.

No. 8
Material: CdRe3Ni
Method: DFT, PBE
State: optimized geometry

POSCAR file:
```
CdRe3Ni
1.0
-2.714 0.440 3.527
0.393 -4.373 0.848
3.532 0.824 2.616
Re Ni Cd
3 1 1
Direct
0.000 0.500 0.000
0.000 0.000 0.500
0.500 0.000 0.000
0.000 0.000 0.000
0.500 0.500 0.500
```

Computed properties:
The crystal system is cubic. The calculation puts the size of the total moment at 0.00 μB/cell. As for the energy of formation: 1742 meV per atom. The value obtained for the density of states at the Fermi level is 10.0 states/eV/f.u. As for the energy relative to the lowest polymorph listed for this composition: 0 meV/atom.

No. 9
Material: Cd2ReNi
Method: DFT, PBE
State: optimized geometry

POSCAR file:
```
Cd2ReNi
1.0
0.000 3.228 3.228
3.228 0.000 3.228
3.228 3.228 0.000
Re Ni Cd
1 1 2
Direct
0.500 0.500 0.500
0.000 0.000 0.000
0.250 0.250 0.250
0.750 0.750 0.750
```

Computed properties:
The crystal system is cubic. The calculation puts the size of the total moment at 2.17 μB/cell. As for the energy of formation: 773 meV per atom. The value obtained for the density of states at the Fermi level is 4.1 states/eV/f.u. As for the energy relative to the lowest polymorph listed for this composition: 538 meV/atom.

No. 10
Material: Cd2ReNi
Method: DFT, PBE
State: optimized geometry

POSCAR file:
```
Cd2ReNi
1.0
7.369 0.000 0.000
0.000 7.369 0.000
3.684 3.684 2.642
Re Ni Cd
2 2 4
Direct
0.000 0.000 0.000
0.750 0.250 0.500
0.500 0.500 0.000
0.250 0.750 0.500
0.597 0.125 0.250
0.153 0.625 0.250
0.375 0.403 0.750
0.875 0.847 0.750
```

Computed properties:
The crystal system is tetragonal. The calculation puts the size of the total moment at 4.03 μB/cell. As for the energy of formation: 1007 meV per atom. The value obtained for the density of states at the Fermi level is 4.1 states/eV/f.u. As for the energy relative to the lowest polymorph listed for this composition: 773 meV/atom.

No. 11
Material: CdReNi6
Method: DFT, PBE
State: optimized geometry

POSCAR file:
```
CdReNi6
1.0
6.358 0.000 0.000
-2.115 5.995 0.000
0.000 0.000 10.394
Cd Ni Re
4 24 4
Direct
0.255 0.745 0.750
0.745 0.255 0.750
0.500 0.500 0.498
0.500 0.500 0.002
0.244 0.756 0.489
0.883 0.638 0.618
0.117 0.362 0.618
0.756 0.244 0.489
0.362 0.117 0.618
0.638 0.883 0.618
0.500 0.500 0.250
0.112 0.369 0.369
0.369 0.112 0.369
0.244 0.756 0.011
0.888 0.631 0.131
0.112 0.369 0.131
0.756 0.244 0.011
0.369 0.112 0.131
0.631 0.888 0.131
0.500 0.500 0.750
0.117 0.362 0.882
0.362 0.117 0.882
0.000 0.000 0.250
0.631 0.888 0.369
0.888 0.631 0.369
0.000 0.000 0.750
0.638 0.883 0.882
0.883 0.638 0.882
0.254 0.746 0.250
0.746 0.254 0.250
0.000 0.000 0.506
0.000 0.000 0.994
```

Computed properties:
The crystal system is orthorhombic. The calculation puts the size of the total moment at 0.00 μB/cell. As for the energy of formation: 57 meV per atom. The value obtained for the density of states at the Fermi level is 6.9 states/eV/f.u.

No. 12
Material: Cd2ReNi
Method: DFT, PBE
State: optimized geometry

POSCAR file:
```
Cd2ReNi
1.0
-2.084 3.164 2.894
2.068 4.080 -1.347
-2.161 -3.193 -2.805
Cd Re Ni
2 1 1
Direct
0.000 0.000 0.000
0.250 0.750 0.500
0.750 0.250 0.500
0.500 0.500 0.000
```

Computed properties:
The crystal system is tetragonal. The calculation puts the size of the total moment at 2.34 μB/cell. As for the energy of formation: 673 meV per atom. The value obtained for the density of states at the Fermi level is 2.4 states/eV/f.u. As for the energy relative to the lowest polymorph listed for this composition: 439 meV/atom.